Material: AcHo2Np
Method: DFT, GGA-PBE
State: relaxed

The value obtained for the calculated formation energy is 456 meV per atom. The density of states at the Fermi level comes out at 11.217 states/eV/f.u.

Cell: 3.4770 3.4770 37.3097 Å, 90.00 90.00 120.00°
Space group R-3m (No. 166, hexagonal axes)
Asymmetric unit:
Ac 0.0000 0.0000 0.0000 x3
Ho 0.0000 0.0000 0.0943 x6
Np 0.0000 0.0000 0.5000 x3

Material: KNb3Co
Method: DFT, GGA-PBE
State: relaxed

The value obtained for the calculated formation energy is 1149 meV per atom. The density of states at the Fermi level comes out at 7.280 states/eV/f.u.

Cell: 4.7905 4.7905 4.7905 Å, 90.00 90.00 90.00°
Space group Pm-3m (No. 221)
Asymmetric unit:
K 0.0000 0.0000 0.0000 x1
Nb 0.0000 0.5000 0.5000 x3
Co 0.5000 0.5000 0.5000 x1

Material: Sr2C2O5
Method: DFT, GGA-PBE
State: relaxed

As for the uncorrected formation energy: -1.568 eV/atom. The density of states at the Fermi level comes out at 0.454 states/eV/f.u.

Cell: 13.3806 3.5391 8.0185 Å, 90.00 122.12 90.00°
Space group C2/m (No. 12)
Asymmetric unit:
Sr 0.0177 0.0000 0.2195 x4
C 0.1643 0.5000 0.6356 x4
O 0.0000 0.5000 0.0000 x2
O 0.1094 0.5000 0.7234 x4
O 0.2307 0.0000 0.3101 x4

Material: La2TaInPd
Method: DFT, GGA-PBE
State: relaxed

The value obtained for the calculated formation energy is 470 meV per atom. The density of states at the Fermi level comes out at 5.582 states/eV/f.u.

Cell: 5.4552 5.4552 5.0783 Å, 90.00 90.00 90.00°
Space group P4/mmm (No. 123)
Asymmetric unit:
La 0.0000 0.5000 0.0000 x2
Ta 0.0000 0.0000 0.5000 x1
In 0.5000 0.5000 0.5000 x1
Pd 0.5000 0.5000 0.0000 x1

Material: AcDyHo2Hg4
Method: DFT, GGA-PBE
State: relaxed

The value obtained for the calculated formation energy is -446 meV per atom. The density of states at the Fermi level comes out at 7.594 states/eV/f.u.

Cell: 5.3033 5.3033 27.3437 Å, 90.00 90.00 120.00°
Space group R-3m (No. 166, hexagonal axes)
Asymmetric unit:
Ac 0.0000 0.0000 0.0000 x3
Dy 0.0000 0.0000 0.5000 x3
Ho 0.0000 0.0000 0.2449 x6
Hg 0.0000 0.0000 0.1284 x6
Hg 0.0000 0.0000 0.3855 x6

Material: La3Pm2Nd6
Method: DFT, GGA-PBE
State: relaxed

The value obtained for the calculated formation energy is 11 meV per atom. The density of states at the Fermi level comes out at 16.758 states/eV/f.u.

Cell: 3.6917 3.6917 99.5702 Å, 90.00 90.00 120.00°
Space group R-3m (No. 166, hexagonal axes)
Asymmetric unit:
La 0.0000 0.0000 0.0000 x3
La 0.0000 0.0000 0.2723 x6
Pm 0.0000 0.0000 0.4549 x6
Nd 0.0000 0.0000 0.0916 x6
Nd 0.0000 0.0000 0.1818 x6
Nd 0.0000 0.0000 0.3638 x6

Material: Ba2Mg4TlPb3
Method: DFT, GGA-PBE
State: relaxed

The value obtained for the calculated formation energy is -355 meV per atom. The density of states at the Fermi level comes out at 3.640 states/eV/f.u.

Cell: 4.9994 4.9994 12.4230 Å, 90.00 90.00 90.00°
Space group P-4m2 (No. 115)
Asymmetric unit:
Ba 0.0000 0.5000 0.2498 x2
Mg 0.0000 0.0000 0.0000 x1
Mg 0.0000 0.5000 0.6320 x2
Mg 0.5000 0.5000 0.0000 x1
Tl 0.0000 0.0000 0.5000 x1
Pb 0.0000 0.5000 0.8646 x2
Pb 0.5000 0.5000 0.5000 x1

Material: MgZr2Zn
Method: DFT, GGA-PBE
State: relaxed

The value obtained for the calculated formation energy is -91 meV per atom. The density of states at the Fermi level comes out at 3.644 states/eV/f.u.

Cell: 3.1553 3.1553 8.2179 Å, 90.00 90.00 90.00°
Space group P4/mmm (No. 123)
Asymmetric unit:
Mg 0.0000 0.0000 0.0000 x1
Zr 0.5000 0.5000 0.2722 x2
Zn 0.0000 0.0000 0.5000 x1

Material: HgSb2I2
Method: DFT, GGA-PBE
State: relaxed

As for the uncorrected formation energy: 0.093 eV/atom. The density of states at the Fermi level comes out at 0.265 states/eV/f.u.

Cell: 4.3409 4.3409 20.1110 Å, 90.00 90.00 90.00°
Space group I4/mmm (No. 139)
Asymmetric unit:
Hg 0.0000 0.0000 0.0000 x2
Sb 0.0000 0.5000 0.2500 x4
I 0.0000 0.0000 0.3813 x4

Material: Sm6Cu5Rh
Method: DFT, GGA-PBE
State: relaxed

The value obtained for the calculated formation energy is -277 meV per atom. The density of states at the Fermi level comes out at 9.396 states/eV/f.u.

Cell: 5.0005 7.0906 7.9038 Å, 90.00 108.23 90.00°
Space group P2/m (No. 10)
Asymmetric unit:
Sm 0.0000 0.2454 0.0000 x2
Sm 0.3363 0.2487 0.6719 x4
Cu 0.1640 0.5000 0.3291 x2
Cu 0.1739 0.0000 0.3476 x2
Cu 0.5000 0.5000 0.0000 x1
Rh 0.5000 0.0000 0.0000 x1

Material: KSc2Ag
Method: DFT, GGA-PBE
State: relaxed

The value obtained for the calculated formation energy is 331 meV per atom. The density of states at the Fermi level comes out at 6.212 states/eV/f.u.

Cell: 3.4092 3.4092 33.8690 Å, 90.00 90.00 120.00°
Space group R-3m (No. 166, hexagonal axes)
Asymmetric unit:
K 0.0000 0.0000 0.0000 x3
Sc 0.0000 0.0000 0.2310 x6
Ag 0.0000 0.0000 0.5000 x3

Material: KLaP2
Method: DFT, GGA-PBE
State: relaxed

The value obtained for the calculated formation energy is -858 meV per atom. The density of states at the Fermi level comes out at 1.053 states/eV/f.u.

Cell: 4.0208 4.0085 6.9166 Å, 90.00 92.01 90.00°
Space group P2/m (No. 10)
Asymmetric unit:
K 0.0000 0.0000 0.0000 x1
La 0.0000 0.0000 0.5000 x1
P 0.4915 0.5000 0.3361 x2

Number 1: total energy -73.14 eV for the cell shown. Number 2: total energy -32.67 eV for the cell shown. Number 3: total energy -121.43 eV for the cell shown. Number 4: total energy -27.29 eV for the cell shown. Number 5: total energy -67.91 eV for the cell shown. Number 6: total energy -158.32 eV for the cell shown. Number 7: total energy -27.26 eV for the cell shown. Number 8: total energy -20.33 eV for the cell shown. Number 9: total energy -22.37 eV for the cell shown. Number 10: total energy -59.47 eV for the cell shown. Number 11: total energy -45.86 eV for the cell shown. Number 12: total energy -20.28 eV for the cell shown.